TcPbBr2 | meta-GGA SCAN | PBEsol geometry

## Properties
ΔE_f (raw): 0.10 eV per atom
energy above the lowest structure with this stoichiometry: 0.00 kJ/mol of atoms

abc: 7.0571 7.0571 4.8500
angles: 109.96 109.96 26.53
Closest atoms and distances in Å follow each position.
Positions (direct):
Tc1 0.0000 0.0000 0.0000  4 Br 2.60, 4 Pb 2.92
Pb1 0.5000 0.5000 0.5000  4 Tc 2.92, 4 Br 3.16-3.17, 2 Pb 3.24
Br1 0.3414 0.3414 0.8411  2 Tc 2.60
Br2 0.6586 0.6586 0.1589  2 Tc 2.60


GaH2Rh2 | meta-GGA SCAN | PBEsol geometry

abc: 5.6583 5.6583 5.6583
angles: 149.60 149.60 43.53
Closest atoms and distances in Å follow each position.
Positions (direct):
Ga1 0.0000 0.0000 0.0000  8 Rh 2.57
H1 0.2500 0.7500 0.5000  4 Rh 1.87
H2 0.7500 0.2500 0.5000  4 Rh 1.87
Rh1 0.3585 0.3585 0.0000  4 H 1.87
Rh2 0.6415 0.6415 0.0000  4 H 1.87


BePPb | meta-GGA SCAN | PBEsol geometry

## Properties
formation energy: -21 kJ/mol of formula units

abc: 3.6285 3.6285 4.9913
angles: 90.00 90.00 120.00
Closest atoms and distances in Å follow each position.
Positions (direct):
Be1 0.0000 0.0000 0.0000  3 P 2.10
P1 0.3333 0.6667 0.0045  3 Be 2.10
Pb1 0.6667 0.3333 0.5034  6 Be 3.25-3.27, 6 P 3.25-3.26, 6 Pb 3.63


Rb2MnO4 | meta-GGA SCAN | PBEsol geometry

## Properties
ΔE_f (raw): -1.87 eV per atom

abc: 7.9465 5.9788 10.6158
angles: 90.00 90.00 90.00
Closest atoms and distances in Å follow each position.
Positions (direct):
Rb1 0.0140 0.2500 0.1950  7 O 2.83-2.99
Rb2 0.1661 0.7500 0.4124  5 O 2.87-3.02
Rb3 0.3339 0.2500 0.9124  5 O 2.87-3.02
Rb4 0.4860 0.7500 0.6950  7 O 2.83-2.99
Rb5 0.5140 0.2500 0.3050  7 O 2.83-2.99
Rb6 0.6661 0.7500 0.0876  5 O 2.87-3.02
Rb7 0.8339 0.2500 0.5876  5 O 2.87-3.02
Rb8 0.9860 0.7500 0.8050  7 O 2.83-2.99
Mn1 0.2330 0.7500 0.0795  4 O 1.64-1.65
Mn2 0.2670 0.2500 0.5795  4 O 1.64-1.65
Mn3 0.7330 0.7500 0.4205  4 O 1.64-1.65
Mn4 0.7670 0.2500 0.9205  4 O 1.64-1.65
O1 0.0267 0.7500 0.0846  1 Mn 1.64
O2 0.1931 0.0254 0.6500  1 Mn 1.65
O3 0.1931 0.4746 0.6500  1 Mn 1.65
O4 0.2011 0.2500 0.4320  1 Mn 1.65
O5 0.2989 0.7500 0.9320  1 Mn 1.65
O6 0.3069 0.5254 0.1500  1 Mn 1.65
O7 0.3069 0.9746 0.1500  1 Mn 1.65
O8 0.4733 0.2500 0.5846  1 Mn 1.64
O9 0.5267 0.7500 0.4154  1 Mn 1.64
O10 0.6931 0.0254 0.8500  1 Mn 1.65
O11 0.6931 0.4746 0.8500  1 Mn 1.65
O12 0.7011 0.2500 0.0680  1 Mn 1.65
O13 0.7989 0.7500 0.5680  1 Mn 1.65
O14 0.8069 0.5254 0.3500  1 Mn 1.65
O15 0.8069 0.9746 0.3500  1 Mn 1.65
O16 0.9733 0.2500 0.9154  1 Mn 1.64


Fe3Co5 | meta-GGA SCAN | PBEsol geometry

## Properties
formation energy: -78 kJ/mol of formula units

abc: 3.9340 3.9340 5.5736
angles: 90.00 90.00 90.00
Closest atoms and distances in Å follow each position.
Positions (direct):
Fe1 0.0000 0.0000 0.0000  4 Co 2.39, 4 Fe 2.42
Fe2 0.0000 0.5000 0.2539  6 Co 2.40-2.42, 2 Fe 2.42
Fe3 0.5000 0.0000 0.7461  6 Co 2.40-2.42, 2 Fe 2.42
Co1 0.0000 0.0000 0.5000  4 Fe 2.40, 4 Co 2.43
Co2 0.0000 0.5000 0.7560  2 Fe 2.39, 6 Co 2.39-2.43
Co3 0.5000 0.0000 0.2440  2 Fe 2.39, 6 Co 2.39-2.43
Co4 0.5000 0.5000 0.0000  4 Co 2.39, 4 Fe 2.42
Co5 0.5000 0.5000 0.5000  4 Fe 2.40, 4 Co 2.43


BaSr2F | meta-GGA SCAN | PBEsol geometry

## Properties
ΔE_f (raw): -0.25 eV per atom
energy above the lowest structure with this stoichiometry: 122.72 kJ/mol of atoms

abc: 6.3790 6.3790 6.3790
angles: 60.00 60.00 60.00
Closest atoms and distances in Å follow each position.
Positions (direct):
Ba1 0.0000 0.0000 0.0000  8 Sr 3.91
Sr1 0.2500 0.2500 0.2500  4 F 3.91, 4 Ba 3.91
Sr2 0.7500 0.7500 0.7500  4 Ba 3.91, 4 F 3.91
F1 0.5000 0.5000 0.5000  8 Sr 3.91


Na5YC4O12 | meta-GGA SCAN | PBEsol geometry

## Properties
ΔE_f (raw): -2.09 eV per atom

abc: 12.1666 10.0694 8.7605
angles: 90.00 90.16 90.00
Closest atoms and distances in Å follow each position.
Positions (direct):
Na1 0.0745 0.1252 0.0445  5 O 2.35-2.47
Na2 0.0745 0.3748 0.5445  5 O 2.35-2.47
Na3 0.1067 0.6278 0.0842  5 O 2.32-2.47
Na4 0.1067 0.8722 0.5842  5 O 2.32-2.47
Na5 0.2102 0.1258 0.6917  5 O 2.30-2.54
Na6 0.2102 0.3742 0.1917  5 O 2.30-2.54
Na7 0.3655 0.1777 0.0104  4 O 2.28-2.51
Na8 0.3655 0.3223 0.5104  4 O 2.28-2.51
Na9 0.4007 0.5795 0.0761  4 O 2.25-2.45
Na10 0.4007 0.9205 0.5761  4 O 2.25-2.45
Na11 0.5993 0.0795 0.4239  4 O 2.25-2.45
Na12 0.5993 0.4205 0.9239  4 O 2.25-2.45
Na13 0.6345 0.6777 0.4896  4 O 2.28-2.51
Na14 0.6345 0.8223 0.9896  4 O 2.28-2.51
Na15 0.7898 0.6258 0.8083  5 O 2.30-2.54
Na16 0.7898 0.8742 0.3083  5 O 2.30-2.54
Na17 0.8933 0.1278 0.4158  5 O 2.32-2.47
Na18 0.8933 0.3722 0.9158  5 O 2.32-2.47
Na19 0.9255 0.6252 0.4555  5 O 2.35-2.47
Na20 0.9255 0.8748 0.9555  5 O 2.35-2.47
Y1 0.2774 0.6242 0.7147  8 O 2.24-2.49
Y2 0.2774 0.8758 0.2147  8 O 2.24-2.49
Y3 0.7226 0.1242 0.7853  8 O 2.24-2.49
Y4 0.7226 0.3758 0.2853  8 O 2.24-2.49
C1 0.0131 0.6077 0.7560  3 O 1.28-1.32
C2 0.0131 0.8923 0.2560  3 O 1.28-1.32
C3 0.2176 0.1185 0.3547  3 O 1.28-1.31
C4 0.2176 0.3815 0.8547  3 O 1.28-1.31
C5 0.2793 0.6345 0.3893  3 O 1.28-1.31
C6 0.2793 0.8655 0.8893  3 O 1.28-1.31
C7 0.4957 0.1339 0.7370  3 O 1.27-1.31
C8 0.4957 0.3661 0.2370  3 O 1.27-1.31
C9 0.5043 0.6339 0.7630  3 O 1.27-1.31
C10 0.5043 0.8661 0.2630  3 O 1.27-1.31
C11 0.7207 0.1345 0.1107  3 O 1.28-1.31
C12 0.7207 0.3655 0.6107  3 O 1.28-1.31
C13 0.7824 0.6185 0.1453  3 O 1.28-1.31
C14 0.7824 0.8815 0.6453  3 O 1.28-1.31
C15 0.9869 0.1077 0.7440  3 O 1.28-1.32
C16 0.9869 0.3923 0.2440  3 O 1.28-1.32
O1 0.0137 0.1626 0.6177  1 C 1.28
O2 0.0137 0.3374 0.1177  1 C 1.28
O3 0.0433 0.0100 0.7994  1 C 1.29
O4 0.0433 0.4900 0.2994  1 C 1.29
O5 0.0971 0.6523 0.6763  1 C 1.32
O6 0.0971 0.8477 0.1763  1 C 1.32
O7 0.2044 0.2322 0.4160  1 C 1.28
O8 0.2044 0.2678 0.9160  1 C 1.28
O9 0.2228 0.0094 0.4346  1 C 1.30
O10 0.2228 0.4906 0.9346  1 C 1.30
O11 0.2290 0.1050 0.2074  1 C 1.31
O12 0.2290 0.3950 0.7074  1 C 1.31
O13 0.2682 0.6328 0.2433  1 C 1.29
O14 0.2682 0.8672 0.7433  1 C 1.29
O15 0.2724 0.7489 0.4587  1 C 1.31
O16 0.2724 0.7511 0.9587  1 C 1.31
O17 0.2970 0.5300 0.4693  1 C 1.28
O18 0.2970 0.9700 0.9693  1 C 1.28
O19 0.3984 0.1516 0.6874  1 C 1.27
O20 0.3984 0.3484 0.1874  1 C 1.27
O21 0.4405 0.5429 0.8237  1 C 1.31
O22 0.4405 0.9571 0.3237  1 C 1.31
O23 0.4617 0.7028 0.6519  1 C 1.30
O24 0.4617 0.7972 0.1519  1 C 1.30
O25 0.5383 0.2028 0.8481  1 C 1.30
O26 0.5383 0.2972 0.3481  1 C 1.30
O27 0.5595 0.0429 0.6763  1 C 1.31
O28 0.5595 0.4571 0.1763  1 C 1.31
O29 0.6016 0.6516 0.8126  1 C 1.27
O30 0.6016 0.8484 0.3126  1 C 1.27
O31 0.7030 0.0300 0.0307  1 C 1.28
O32 0.7030 0.4700 0.5307  1 C 1.28
O33 0.7276 0.2489 0.0413  1 C 1.31
O34 0.7276 0.2511 0.5413  1 C 1.31
O35 0.7318 0.1328 0.2567  1 C 1.29
O36 0.7318 0.3672 0.7567  1 C 1.29
O37 0.7710 0.6050 0.2926  1 C 1.31
O38 0.7710 0.8950 0.7926  1 C 1.31
O39 0.7772 0.5094 0.0654  1 C 1.30
O40 0.7772 0.9906 0.5654  1 C 1.30
O41 0.7956 0.7322 0.0840  1 C 1.28
O42 0.7956 0.7678 0.5840  1 C 1.28
O43 0.9029 0.1523 0.8237  1 C 1.32
O44 0.9029 0.3477 0.3237  1 C 1.32
O45 0.9567 0.5100 0.7006  1 C 1.29
O46 0.9567 0.9900 0.2006  1 C 1.29
O47 0.9863 0.6626 0.8823  1 C 1.28
O48 0.9863 0.8374 0.3823  1 C 1.28


AlB2Ir2 | meta-GGA SCAN | PBEsol geometry

## Properties
formation energy: -268 kJ/mol of formula units

abc: 6.4233 6.4233 6.4233
angles: 152.59 152.59 39.15
Closest atoms and distances in Å follow each position.
Positions (direct):
Al1 0.0000 0.0000 0.0000  8 Ir 2.61
B1 0.2500 0.7500 0.5000  4 B 2.15, 4 Ir 2.17
B2 0.7500 0.2500 0.5000  4 B 2.15, 4 Ir 2.17
Ir1 0.3774 0.3774 0.0000  4 B 2.17
Ir2 0.6226 0.6226 0.0000  4 B 2.17


YBeAl2 | meta-GGA SCAN | PBEsol geometry

## Properties
formation energy: 108 kJ/mol of formula units

abc: 9.3290 9.3290 9.3290
angles: 18.56 18.56 18.56
Closest atoms and distances in Å follow each position.
Positions (direct):
Y1 0.0000 0.0000 0.0000  6 Y 3.01, 6 Al 3.20
Be1 0.5000 0.5000 0.5000  6 Al 2.57
Al1 0.2357 0.2357 0.2357  3 Be 2.57
Al2 0.7643 0.7643 0.7643  3 Be 2.57


ZrSb2Au | meta-GGA SCAN | PBEsol geometry

## Properties
ΔE_f (raw): -0.32 eV per atom

abc: 3.1203 3.1203 9.5383
angles: 90.00 90.00 90.00
Closest atoms and distances in Å follow each position.
Positions (direct):
Zr1 0.0000 0.0000 0.0000  4 Au 2.91, 4 Zr 3.12, 4 Sb 3.13
Sb1 0.0000 0.0000 0.4211  4 Au 3.06, 4 Sb 3.12
Sb2 0.5000 0.5000 0.7675  4 Sb 3.12, 4 Zr 3.13
Au1 0.5000 0.5000 0.1988  4 Zr 2.91, 4 Sb 3.06, 4 Au 3.12


Values for raw total energy, eV/atom, ordered as above
-37.337; -18.467; -30.249; -13.962; -17.715; -22.159; -9.552; -33.517; -11.645; -43.912